The following is a PBE with a Hubbard U calculation of crystalline BaCaFeO4 at its relaxed geometry, from Alexandria via LeMat-Bulk.

Geometry as POSCAR:
```
BaCaFeO4
1.0
0.000 4.508 4.508
4.508 0.000 4.508
4.508 4.508 0.000
Ba Ca Fe O
1 1 1 4
Cartesian
0.000 0.000 0.000 Ba
2.254 2.254 2.254 Ca
4.508 4.508 4.508 Fe
3.466 3.466 3.466 O
5.550 5.550 3.466 O
5.550 3.466 5.550 O
3.466 5.550 5.550 O
```

Output
The volume comes out at 183.3 Å³ per cell. Its space group is No. 216. Its total energy is -5.77 eV/atom.